[1]
The following is a DFT calculation (GGA-PBEsol) of Tl2TeOs after structural relaxation.

Computed properties:
SG: Cm

abc: 3.2918 3.8278 8.8306
angles: 95.95 90.00 115.47
Closest atoms and distances in Å follow each position.
Positions (direct):
Os  0.5107  0.0213  0.4857  3 Te 2.55-2.56, 2 Tl 2.85
Te  0.7923  0.5846  0.3227  3 Os 2.55-2.56
Tl  0.9661  0.9323  0.9857  5 Tl 3.24-3.29, 1 Te 3.33
Tl  0.2309  0.4618  0.7060  3 Os 2.85-2.90

---

[2]
The following is a DFT calculation (GGA-PBEsol) of Te2OsW after structural relaxation.

Computed properties:
SG: I-4m2

abc: 4.2162 4.2162 5.1160
angles: 114.33 114.33 90.00
Closest atoms and distances in Å follow each position.
Positions (direct):
Os  0.2500  0.7500  0.5000  4 W 2.96, 8 Te 2.96-2.98
Te  0.0000  0.0000  0.0000  4 Os 2.96, 4 Te 2.96, 4 W 2.98
Te  0.7500  0.2500  0.5000  4 W 2.96, 4 Te 2.96, 4 Os 2.98
W  0.5000  0.5000  0.0000  8 Te 2.96-2.98, 4 Os 2.96

---

[3]
The following is a DFT calculation (GGA-PBEsol) of Te2OsW after structural relaxation.

Computed properties:
SG: F-43m

abc: 4.7519 4.7519 4.7519
angles: 60.00 60.00 60.00
Closest atoms and distances in Å follow each position.
Positions (direct):
Os  0.5000  0.5000  0.5000  4 Te 2.91, 4 W 2.91
Te  0.0000  0.0000  0.0000  4 W 2.91, 4 Te 2.91
Te  0.7500  0.7500  0.7500  4 Os 2.91, 4 Te 2.91
W  0.2500  0.2500  0.2500  4 Os 2.91, 4 Te 2.91

---

[4]
The following is a DFT calculation (GGA-PBEsol) of Te2OsW after structural relaxation.

Computed properties:
SG: Pmm2

abc: 2.9758 3.8417 7.4470
angles: 90.00 90.00 90.00
Closest atoms and distances in Å follow each position.
Positions (direct):
Os  0.5000  0.5000  0.7065  4 W 2.70, 5 Te 2.83-2.89, 2 Os 2.98
Te  0.0000  0.0000  0.9176  1 W 2.75, 4 Os 2.89, 2 Te 2.98
Te  0.5000  0.5000  0.3271  1 Os 2.83, 4 W 2.94, 2 Te 2.98
W  0.0000  0.0000  0.5489  4 Os 2.70, 5 Te 2.75-2.94, 2 W 2.98

---

[5]
The following is a DFT calculation (GGA-PBEsol) of Te2OsW after structural relaxation.

Computed properties:
SG: Cmmm

abc: 3.1106 3.1106 8.9034
angles: 90.00 90.00 118.16
Closest atoms and distances in Å follow each position.
Positions (direct):
Os  0.5000  0.5000  0.0000  4 Te 2.72
Te  0.0000  0.0000  0.2468  2 Os 2.72, 2 W 2.76
Te  0.0000  0.0000  0.7532  2 Os 2.72, 2 W 2.76
W  0.5000  0.5000  0.5000  4 Te 2.76

---

[6]
The following is a DFT calculation (GGA-PBEsol) of YTe2Os after structural relaxation.

Computed properties:
SG: Cmmm

abc: 4.1960 4.8643 4.8672
angles: 104.07 90.00 90.00
Closest atoms and distances in Å follow each position.
Positions (direct):
Os  0.5000  0.5000  0.0000  4 Te 2.62
Te  0.0000  0.2958  0.2043  2 Os 2.62
Te  0.0000  0.7042  0.7957  2 Os 2.62
Y  0.5000  0.0000  0.5000  2 Os 2.99, 4 Te 3.09

---

no.,formation energy from raw total energies (kJ per mole of atoms)
1,40
2,104
3,120
4,44
5,122
6,-15